[1]
DFT (PBE) results for crystalline Pm6Nd7Ho16 at its relaxed geometry.

The structure in extended XYZ format:
```
29
Lattice="2.133 9.326 5.925 5.727 -0.661 9.664 10.499 4.004 0.604" Properties=species:S:1:pos:R:3 pbc="T T T"
Pm 7.540 3.013 8.841
Pm 10.819 9.656 7.352
Pm 5.834 7.755 7.066
Pm 12.525 4.914 9.127
Pm 8.553 7.441 11.654
Pm 9.806 5.228 4.539
Nd 0.000 0.000 0.000
Nd 6.316 6.665 3.264
Nd 2.863 -0.330 4.832
Nd 8.113 1.672 5.134
Nd 1.066 4.663 2.963
Nd 5.250 2.002 0.302
Nd 3.930 4.332 7.795
Ho 10.916 9.098 13.808
Ho 15.985 11.031 14.100
Ho 13.220 11.351 9.433
Ho 14.956 6.528 11.238
Ho 2.373 1.638 2.093
Ho 7.443 3.572 2.385
Ho 5.139 1.319 6.760
Ho 3.403 6.141 4.955
Ho 5.617 5.830 10.173
Ho 11.947 8.244 10.537
Ho 8.494 8.643 4.711
Ho 10.661 2.622 6.965
Ho 6.412 4.425 5.656
Ho 12.742 6.839 6.020
Ho 9.865 4.027 11.482
Ho 7.698 10.048 9.228
```

Calculated values
The value obtained for the formation energy is 0.239 eV/atom. The calculation puts the size of the total moment at 0.00 μB/f.u.

=====

[2]
DFT (PBE) results for crystalline Pm2NdHo at its relaxed geometry.

The structure in extended XYZ format:
```
4
Lattice="3.609 0.000 -0.965 -0.586 5.545 -2.191 -0.065 -0.482 6.989" Properties=species:S:1:pos:R:3 pbc="T T T"
Pm 0.003 0.005 0.012
Pm 2.554 1.186 2.320
Nd 0.404 3.876 1.511
Ho 1.444 2.287 5.402
```

Calculated values
The value obtained for the formation energy is 0.114 eV/atom. The calculation puts the size of the total moment at 0.00 μB/f.u.

=====

[3]
DFT (PBE) results for crystalline Pm3NdHo4 at its relaxed geometry.

The structure in extended XYZ format:
```
16
Lattice="-5.765 1.096 -2.292 0.945 -5.323 -4.922 -4.397 -7.632 7.409" Properties=species:S:1:pos:R:3 pbc="T T T"
Pm -3.136 -2.633 -4.573
Pm -6.169 -4.175 -3.487
Pm -3.526 -3.358 -1.086
Pm -2.693 -5.636 1.536
Pm -5.726 -7.177 2.622
Pm -8.365 -7.988 0.214
Nd -0.492 -1.824 -2.170
Nd -5.332 -6.446 -0.864
Ho -0.024 -4.513 -4.663
Ho -3.619 0.065 -2.081
Ho -6.640 -1.481 -0.993
Ho -3.041 -6.055 -3.575
Ho -2.219 -8.332 -0.959
Ho -5.820 -3.753 1.620
Ho -5.241 -9.873 0.133
Ho -8.837 -5.294 2.709
```

Calculated values
The value obtained for the formation energy is 0.025 eV/atom. The calculation puts the size of the total moment at 0.00 μB/f.u.

=====

[4]
DFT (PBE) results for crystalline Pm4NdHo at its relaxed geometry.

The structure in extended XYZ format:
```
6
Lattice="-3.338 1.134 0.955 -2.068 -3.591 -2.964 2.106 -3.403 11.408" Properties=species:S:1:pos:R:3 pbc="T T T"
Pm -0.600 -3.441 8.977
Pm -2.700 -2.420 0.422
Pm 0.008 -2.355 2.829
Pm 0.029 -4.639 5.615
Nd 0.000 0.000 0.000
Ho -0.616 -1.134 6.181
```

Calculated values
The value obtained for the formation energy is -0.004 eV/atom. The calculation puts the size of the total moment at 0.00 μB/f.u.